No. 1
Entry from OQMD: an optimized crystal structure of Nd3PSe2 (PBE).

Output
Energy ... -6.242 eV per atom

extended XYZ file:
```
6
Lattice="4.198 0.000 0.000 -2.099 3.636 0.000 0.000 0.000 10.389" Properties=species:S:1:pos:R:3 pbc="T T T"
Nd 0.000 0.000 0.000
Nd 0.000 2.424 3.611
Nd 2.099 1.212 6.778
P 0.000 0.000 5.194
Se 2.099 1.212 1.748
Se 0.000 2.424 8.641
```



No. 2
Entry from OQMD: an optimized crystal structure of TaCd2Ga (PBE).

Output
Energy ... -3.679 eV per atom

extended XYZ file:
```
4
Lattice="0.000 3.370 3.370 3.370 0.000 3.370 3.370 3.370 0.000" Properties=species:S:1:pos:R:3 pbc="T T T"
Cd 0.000 0.000 0.000
Cd 5.056 5.056 5.056
Ga 3.370 3.370 3.370
Ta 1.685 1.685 1.685
```



No. 3
Entry from OQMD: an optimized crystal structure of SmYPt (PBE).

Output
Energy relative to the lowest polymorph listed for this composition ... 16.8 meV/atom
Energy ... -6.629 eV per atom

extended XYZ file:
```
12
Lattice="-5.982 3.942 -0.989 -2.150 -2.353 3.629 3.065 6.097 5.769" Properties=species:S:1:pos:R:3 pbc="T T T"
Pt -5.890 1.797 2.497
Pt -1.929 1.758 4.819
Pt -3.139 5.928 3.591
Pt 0.823 5.889 5.913
Sm -3.474 0.145 2.858
Sm -5.449 4.137 4.276
Sm 0.381 3.549 4.134
Sm -1.594 7.541 5.552
Y -0.072 0.447 1.854
Y -2.544 3.450 2.337
Y -2.524 4.236 6.073
Y -4.996 7.239 6.556
```



No. 4
Entry from OQMD: an optimized crystal structure of NdCuGeTeS2 (PBE).

Output
Energy ... -4.861 eV per atom

extended XYZ file:
```
12
Lattice="-1.442 6.507 1.643 -2.433 -6.002 -2.275 -2.126 -3.132 10.538" Properties=species:S:1:pos:R:3 pbc="T T T"
Cu -2.446 -0.237 2.411
Cu -3.555 -2.391 7.495
Ge -2.768 -4.308 1.136
Ge -3.233 1.680 8.771
Nd 0.000 0.000 0.000
Nd -1.063 -1.566 5.269
S -1.993 1.647 1.139
S -2.680 0.635 4.545
S -3.321 -3.262 5.361
S -4.008 -4.274 8.767
Te -2.086 4.302 3.832
Te -3.915 -6.929 6.074
```



No. 5
Entry from OQMD: an optimized crystal structure of SmMgTlTe3 (PBE).

Output
Energy ... -3.975 eV per atom

extended XYZ file:
```
24
Lattice="11.944 0.000 0.000 0.000 4.516 0.000 0.000 0.000 15.469" Properties=species:S:1:pos:R:3 pbc="T T T"
Mg 2.848 1.129 3.358
Mg 8.820 1.129 4.377
Mg 3.124 3.387 11.092
Mg 9.096 3.387 12.111
Sm 5.820 3.387 3.807
Sm 11.792 3.387 3.928
Sm 0.152 1.129 11.542
Sm 6.124 1.129 11.662
Te 5.095 1.129 1.734
Te 0.532 1.129 1.817
Te 8.825 3.387 2.671
Te 2.853 3.387 5.063
Te 6.504 1.129 5.917
Te 11.067 1.129 6.000
Te 0.877 3.387 9.469
Te 5.440 3.387 9.552
Te 9.091 1.129 10.406
Te 3.119 1.129 12.798
Te 11.412 3.387 13.652
Te 6.849 3.387 13.735
Tl 2.747 3.387 0.135
Tl 8.719 3.387 7.600
Tl 3.225 1.129 7.869
Tl 9.197 1.129 15.334
```



No. 6
Entry from OQMD: an optimized crystal structure of DyBiAu2 (PBE).

Output
Energy ... -4.303 eV per atom

extended XYZ file:
```
4
Lattice="-0.715 -0.341 4.509 4.724 3.360 1.004 1.680 5.596 0.690" Properties=species:S:1:pos:R:3 pbc="T T T"
Au 0.534 0.747 0.141
Au 5.558 8.104 3.819
Bi 2.240 3.132 0.592
Dy 3.760 5.588 3.343
```



No. 7
Entry from OQMD: an optimized crystal structure of PmNdB4 (PBE).

Output
Energy ... -6.361 eV per atom

extended XYZ file:
```
6
Lattice="-1.668 2.890 4.090 1.668 -2.890 4.090 1.668 2.890 -4.090" Properties=species:S:1:pos:R:3 pbc="T T T"
B 0.000 1.927 2.040
B 1.668 -0.963 2.049
B 0.000 3.853 2.040
B 1.668 0.963 2.049
Nd 0.000 0.000 0.000
Pm 0.000 0.000 4.090
```



No. 8
Entry from OQMD: an optimized crystal structure of Re2BiPd (PBE).

Output
Energy ... -7.685 eV per atom

extended XYZ file:
```
4
Lattice="0.000 3.267 3.267 3.267 0.000 3.267 3.267 3.267 0.000" Properties=species:S:1:pos:R:3 pbc="T T T"
Bi 3.267 3.267 3.267
Pd 1.634 1.634 1.634
Re 0.000 0.000 0.000
Re 4.901 4.901 4.901
```